P.
# Na2ThH6 GGA-PBE optimized geometry
data_Na2ThH6
_cell_length_a 8.7151
_cell_length_b 8.7151
_cell_length_c 8.7151
_cell_angle_alpha 90.00
_cell_angle_beta 90.00
_cell_angle_gamma 90.00
_symmetry_space_group_name_H-M 'F m -3 m'
_symmetry_Int_Tables_number 225
_symmetry_space_group_name_Hall '-F 4 2 3'
loop_
_atom_site_label
_atom_site_type_symbol
_atom_site_fract_x
_atom_site_fract_y
_atom_site_fract_z
Na1 Na 0.2500 0.2500 0.2500
Th1 Th 0.0000 0.0000 0.0000
H1 H 0.0000 0.0000 0.2555
# **Size of the total moment**: 0.0 μB/f.u.
# **Density**: 2.850 Mg/m³

---

Q.
# Na2ThH6 GGA-PBE optimized geometry
data_Na2ThH6
_cell_length_a 13.4218
_cell_length_b 4.1925
_cell_length_c 4.1751
_cell_angle_alpha 90.00
_cell_angle_beta 107.96
_cell_angle_gamma 90.00
_symmetry_space_group_name_H-M 'C 1 2/m 1'
_symmetry_Int_Tables_number 12
loop_
_symmetry_equiv_pos_as_xyz
'x,y,z'
'-x,-y,-z'
'-x,y,-z'
'x,-y,z'
'x+1/2,y+1/2,z'
'-x+1/2,-y+1/2,-z'
'-x+1/2,y+1/2,-z'
'x+1/2,-y+1/2,z'
loop_
_atom_site_label
_atom_site_type_symbol
_atom_site_fract_x
_atom_site_fract_y
_atom_site_fract_z
Na1 Na 0.2483 0.0000 0.2549
Th1 Th 0.0000 0.5000 0.0000
H1 H 0.0780 0.0000 0.1728
H2 H 0.0813 0.5000 0.5795
H3 H 0.1843 0.5000 0.1767
# **Size of the total moment**: 0.0 μB/f.u.
# **Density**: 4.221 Mg/m³

---

Which structure is the least stable? The one labeled P.